Material: DyPuGeRu
Method: DFT, PBE
State: relaxed

Cell lengths 4.9256, 4.9256, 4.9256 Å; angles 60.00, 60.00, 60.00 degrees
Closest atoms and distances in Å follow each position.
Positions (direct):
Pu1 0.5000 0.5000 0.5000  4 Ge 3.02, 4 Ru 3.02
Dy1 0.0000 0.0000 0.0000  4 Ru 3.02, 4 Ge 3.02
Ru1 0.7500 0.7500 0.7500  4 Pu 3.02, 4 Dy 3.02
Ge1 0.2500 0.2500 0.2500  4 Dy 3.02, 4 Pu 3.02

DFT total energy: -8.49 eV/atom
DOS at the Fermi energy: 7.72 states/eV per cell
space group: F-43m



Material: DyPuZn2Ge2
Method: DFT, PBE
State: relaxed

Cell lengths 4.2687, 4.2687, 7.8437 Å; angles 90.00, 90.00, 120.00 degrees
Closest atoms and distances in Å follow each position.
Positions (direct):
Ge1 0.6667 0.3333 0.7484  3 Zn 2.46
Ge2 0.3333 0.6667 0.2516  3 Zn 2.46
Dy1 0.0000 0.0000 0.5000  6 Zn 3.12, 6 Ge 3.14
Pu1 0.0000 0.0000 0.0000  6 Ge 3.16, 6 Zn 3.17
Zn1 0.6667 0.3333 0.2551  3 Ge 2.46
Zn2 0.3333 0.6667 0.7449  3 Ge 2.46

DFT total energy: -5.59 eV/atom
DOS at the Fermi energy: 12.89 states/eV per cell
space group: P-3m1



Material: Rb2DyGe2S6
Method: DFT, PBE
State: relaxed

Cell lengths 7.3186, 6.6887, 8.4551 Å; angles 104.50, 90.00, 123.17 degrees
Closest atoms and distances in Å follow each position.
Positions (direct):
S1 0.7074 0.9237 0.2407  1 Ge 2.22
S2 0.2492 0.4985 0.4574  1 Ge 2.21
S3 0.2163 0.9237 0.2407  1 Ge 2.22
S4 0.7837 0.0763 0.7593  1 Ge 2.22
S5 0.7508 0.5015 0.5426  1 Ge 2.21
S6 0.2926 0.0763 0.7593  1 Ge 2.22
Rb1 0.3078 0.6156 0.8689  7 S 3.34-3.58
Rb2 0.6922 0.3844 0.1311  7 S 3.34-3.58
Ge1 0.0427 0.0853 0.3728  3 S 2.21-2.22
Ge2 0.9573 0.9147 0.6272  3 S 2.21-2.22
Dy1 0.5000 0.0000 0.5000  6 S 2.72-2.77

DFT total energy: -4.60 eV/atom
DOS at the Fermi energy: 6.34 states/eV per cell
space group: C2/m



Material: RbDyGeS4
Method: DFT, PBE
State: relaxed

Cell lengths 6.5090, 6.7555, 9.1228 Å; angles 90.00, 107.83, 90.00 degrees
Closest atoms and distances in Å follow each position.
Positions (direct):
Ge1 0.7721 0.2500 0.6647  4 S 2.20-2.24
Ge2 0.2279 0.7500 0.3353  4 S 2.20-2.24
S1 0.4412 0.7500 0.5759  1 Ge 2.21
S2 0.9954 0.4964 0.3005  1 Ge 2.24
S3 0.5712 0.2500 0.8198  1 Ge 2.20
S4 0.9954 0.0036 0.3005  1 Ge 2.24
S5 0.5588 0.2500 0.4241  1 Ge 2.21
S6 0.0046 0.5036 0.6995  1 Ge 2.24
S7 0.0046 0.9964 0.6995  1 Ge 2.24
S8 0.4288 0.7500 0.1802  1 Ge 2.20
Rb1 0.2631 0.2500 0.0617  8 S 3.28-3.64
Rb2 0.7369 0.7500 0.9383  8 S 3.28-3.64
Dy1 0.2233 0.2500 0.5491  6 S 2.75-2.84
Dy2 0.7767 0.7500 0.4509  6 S 2.75-2.84

DFT total energy: -5.06 eV/atom
DOS at the Fermi energy: 0.00 states/eV per cell
space group: P2_1/m



Material: Rb2DyGeS4
Method: DFT, PBE
State: relaxed

Cell lengths 6.5466, 7.9043, 12.7347 Å; angles 83.89, 75.11, 65.54 degrees
Closest atoms and distances in Å follow each position.
Positions (direct):
Dy1 0.0000 0.0000 0.0000  4 S 2.58
Dy2 0.7500 0.5000 0.5000  4 S 2.58
S1 0.5256 0.3062 0.6010  1 Ge 2.40, 1 Dy 2.58
S2 0.8767 0.8062 0.8990  1 Ge 2.40, 1 Dy 2.58
S3 0.1682 0.3062 0.3990  1 Ge 2.40, 1 Dy 2.58
S4 0.2244 0.1938 0.8990  1 Ge 2.40, 1 Dy 2.58
S5 0.5818 0.1938 0.1010  1 Ge 2.40, 1 Dy 2.58
S6 0.8733 0.6938 0.6010  1 Ge 2.40, 1 Dy 2.58
S7 0.3172 0.8062 0.1010  1 Ge 2.40, 1 Dy 2.58
S8 0.4328 0.6938 0.3990  1 Ge 2.40, 1 Dy 2.58
Rb1 0.1829 0.0000 0.6341  6 S 3.64-3.96
Rb2 0.9329 0.5000 0.1341  6 S 3.64-3.96
Rb3 0.5671 0.5000 0.8659  6 S 3.64-3.96
Rb4 0.8171 0.0000 0.3659  6 S 3.64-3.96
Ge1 0.2500 0.5000 0.5000  4 S 2.40
Ge2 0.5000 0.0000 0.0000  4 S 2.40

DFT total energy: -4.51 eV/atom
DOS at the Fermi energy: 7.62 states/eV per cell
space group: Fddd



Material: RbDyGeSe3
Method: DFT, PBE
State: relaxed

Cell lengths 4.0759, 8.9262, 11.2989 Å; angles 110.28, 90.00, 90.00 degrees
Closest atoms and distances in Å follow each position.
Positions (direct):
Se1 0.2500 0.1154 0.7774  1 Ge 2.48
Se2 0.7500 0.8846 0.2226  1 Ge 2.48
Se3 0.2500 0.5999 0.8950  3 Dy 2.84-2.85
Se4 0.2500 0.6737 0.4210  2 Ge 2.66, 1 Dy 2.91
Se5 0.7500 0.4001 0.1050  3 Dy 2.84-2.85
Se6 0.7500 0.3263 0.5790  2 Ge 2.66, 1 Dy 2.91
Ge1 0.7500 0.8727 0.4390  3 Se 2.48-2.66
Ge2 0.2500 0.1273 0.5610  3 Se 2.48-2.66
Dy1 0.7500 0.3634 0.8450  6 Se 2.84-2.91
Dy2 0.2500 0.6366 0.1550  6 Se 2.84-2.91
Rb1 0.2500 0.2348 0.2773  7 Se 3.48-3.81, 1 Ge 3.65
Rb2 0.7500 0.7652 0.7227  7 Se 3.48-3.81, 1 Ge 3.65

DFT total energy: -4.69 eV/atom
space group: P2_1/m



Material: RbDyGeTe3
Method: DFT, PBE
State: relaxed

Cell lengths 4.3158, 9.4996, 11.9747 Å; angles 111.26, 90.00, 90.00 degrees
Closest atoms and distances in Å follow each position.
Positions (direct):
Te1 0.7500 0.3896 0.1039  3 Dy 3.06-3.07
Te2 0.2500 0.1131 0.7783  1 Ge 2.70
Te3 0.2500 0.6104 0.8961  3 Dy 3.06-3.07
Te4 0.2500 0.6763 0.4292  2 Ge 2.87, 1 Dy 3.12
Te5 0.7500 0.3237 0.5708  2 Ge 2.87, 1 Dy 3.12
Te6 0.7500 0.8869 0.2217  1 Ge 2.70
Dy1 0.2500 0.6342 0.1583  6 Te 3.06-3.12
Dy2 0.7500 0.3658 0.8417  6 Te 3.06-3.12
Ge1 0.2500 0.1175 0.5539  3 Te 2.70-2.87
Ge2 0.7500 0.8825 0.4461  3 Te 2.70-2.87
Rb1 0.7500 0.7673 0.7201  7 Te 3.69-3.94, 1 Ge 3.82
Rb2 0.2500 0.2327 0.2799  7 Te 3.69-3.94, 1 Ge 3.82

DFT total energy: -4.22 eV/atom
space group: P2_1/m



Material: Rb2DyGeTe4
Method: DFT, PBE
State: relaxed

Cell lengths 9.4361, 9.4362, 9.0775 Å; angles 118.75, 118.75, 89.94 degrees
Closest atoms and distances in Å follow each position.
Positions (direct):
Ge1 0.0000 0.0000 0.0000  6 Te 3.09
Ge2 0.5000 0.5000 0.5000  6 Te 3.09
Te1 0.7647 0.3036 0.5341  1 Ge 3.09, 2 Dy 3.11
Te2 0.8036 0.2647 0.0341  1 Ge 3.09, 2 Dy 3.11
Te3 0.2308 0.2692 0.4557  2 Ge 3.09, 1 Dy 3.10
Te4 0.2353 0.6964 0.4659  1 Ge 3.09, 2 Dy 3.11
Te5 0.7692 0.7308 0.9557  2 Ge 3.09, 1 Dy 3.10
Te6 0.1964 0.7353 0.9659  1 Ge 3.09, 2 Dy 3.11
Te7 0.2308 0.2692 0.0443  2 Ge 3.09, 1 Dy 3.10
Te8 0.7692 0.7308 0.5443  2 Ge 3.09, 1 Dy 3.10
Dy1 0.0000 0.5000 0.0000  6 Te 3.10-3.11
Dy2 0.0000 0.5000 0.5000  6 Te 3.10-3.11
Rb1 0.5000 0.5000 0.0000  6 Te 3.61-3.63
Rb2 0.5000 0.0000 0.5000  6 Te 3.60-3.61
Rb3 0.0000 0.0000 0.5000  6 Te 3.61-3.63
Rb4 0.5000 0.0000 0.0000  6 Te 3.60-3.61

DFT total energy: -3.76 eV/atom
DOS at the Fermi energy: 17.47 states/eV per cell
space group: Imma



Material: Dy5Ge5Rh2
Method: DFT, PBE
State: relaxed

Cell lengths 4.2257, 7.8614, 8.4291 Å; angles 89.20, 75.48, 74.41 degrees
Closest atoms and distances in Å follow each position.
Positions (direct):
Ge1 0.9495 0.2953 0.8057  2 Rh 2.53, 1 Ge 2.81
Ge2 0.2794 0.7802 0.6611  1 Rh 2.54
Ge3 0.0000 0.0000 0.0000  4 Ge 2.81-3.15
Ge4 0.0505 0.7047 0.1943  2 Rh 2.53, 1 Ge 2.81
Ge5 0.7206 0.2198 0.3389  1 Rh 2.54
Dy1 0.0000 0.5000 0.5000  4 Rh 2.97, 6 Ge 3.01-3.22
Dy2 0.6978 0.6843 0.9200  3 Rh 2.97, 7 Ge 3.04-3.23
Dy3 0.3021 0.3157 0.0800  3 Rh 2.97, 7 Ge 3.04-3.23
Dy4 0.3703 0.9371 0.3223  5 Ge 2.91-3.07, 1 Rh 3.07
Dy5 0.6297 0.0629 0.6777  5 Ge 2.91-3.07, 1 Rh 3.07
Rh1 0.6085 0.5347 0.2483  3 Ge 2.53-2.54
Rh2 0.3915 0.4653 0.7517  3 Ge 2.53-2.54

DFT total energy: -5.90 eV/atom
DOS at the Fermi energy: 8.13 states/eV per cell
space group: C2/m